# 1
DFT (PBE) results for crystalline TaAlCr4 at its relaxed geometry.

Calculated values
Total magnetization: 0.00 μB/atom
ρ: 8.64 g cm⁻³
Calculated total energy: -9.13 eV per atom
E_form: -0.11 eV per atom

a = 4.8350 Å, b = 4.8350 Å, c = 4.8350 Å
α = 60.00°, β = 60.00°, γ = 60.00°
Sites, in units of the cell vectors:
Ta 0.0000 0.0000 0.0000
Al 0.7500 0.7500 0.7500
Cr 0.3759 0.3759 0.3759
Cr 0.3759 0.3759 0.8723
Cr 0.3759 0.8723 0.3759
Cr 0.8723 0.3759 0.3759

# 2
DFT (PBE) results for crystalline Ta2Al2Cr at its relaxed geometry.

Calculated values
Total magnetization: 0.00 μB/atom
ρ: 9.77 g cm⁻³
Calculated total energy: -8.15 eV per atom
E_form: 0.01 eV per atom
Energy above the most stable polymorph in this dataset: 0 meV per atom

a = 6.5904 Å, b = 6.5904 Å, c = 3.6604 Å
α = 90.00°, β = 90.00°, γ = 90.00°
Sites, in units of the cell vectors:
Ta 0.1692 0.3308 0.0000
Ta 0.3308 0.8308 0.0000
Ta 0.6692 0.1692 0.0000
Ta 0.8308 0.6692 0.0000
Al 0.1340 0.6340 0.5000
Al 0.3660 0.1340 0.5000
Al 0.6340 0.8660 0.5000
Al 0.8660 0.3660 0.5000
Cr 0.0000 0.0000 0.5000
Cr 0.5000 0.5000 0.5000

# 3
DFT (PBE) results for crystalline Ta2AlCr at its relaxed geometry.

Calculated values
Total magnetization: 0.00 μB/atom
ρ: 11.54 g cm⁻³
Calculated total energy: -9.33 eV per atom
E_form: -0.06 eV per atom

a = 3.2123 Å, b = 3.2123 Å, c = 6.1490 Å
α = 90.00°, β = 90.00°, γ = 90.00°
Sites, in units of the cell vectors:
Ta 0.0000 0.0000 0.2330
Ta 0.0000 0.0000 0.7670
Al 0.5000 0.5000 0.5000
Cr 0.5000 0.5000 0.0000